Entry 1:
Compound: La6TbDy4
Source: Alexandria via LeMat-Bulk
Functional: PBE
Structure: optimized geometry

Values from the calculation:
N(E_F) (states/eV/atom): 1.748
Space-group type: No. 63
E_tot (eV/atom): -4.678

a = 5.7488 Å, b = 5.7488 Å, c = 26.2732 Å
α = 90.00°, β = 90.00°, γ = 117.87°
Last column: nearest neighbours and their distance in Å.
Fractional coordinates of all 22 atoms:
La 0.0000 0.0000 0.0000  8 Dy 3.30-3.62
La 0.0000 0.0000 0.5000  8 Dy 3.30-3.62
La 0.0458 0.9542 0.7500  2 Dy 3.29, 3 Tb 3.35-3.36, 2 La 3.67
La 0.3047 0.6953 0.0994  7 Dy 3.42-3.82
La 0.3047 0.6953 0.4006  7 Dy 3.42-3.82
La 0.3711 0.6289 0.6820  5 La 3.57-3.87, 4 Dy 3.60-3.71, 3 Tb 3.75-3.83
La 0.3711 0.6289 0.8180  5 La 3.57-3.87, 4 Dy 3.60-3.71, 3 Tb 3.75-3.83
La 0.6289 0.3711 0.1820  5 La 3.57-3.87, 4 Dy 3.60-3.71, 3 Tb 3.75-3.83
La 0.6289 0.3711 0.3180  5 La 3.57-3.87, 4 Dy 3.60-3.71, 3 Tb 3.75-3.83
La 0.6953 0.3047 0.5994  7 Dy 3.42-3.82
La 0.6953 0.3047 0.9006  7 Dy 3.42-3.82
La 0.9542 0.0458 0.2500  2 Dy 3.29, 3 Tb 3.35-3.36, 2 La 3.67
Tb 0.2945 0.7055 0.2500  5 La 3.35-3.75
Tb 0.7055 0.2945 0.7500  5 La 3.35-3.75
Dy 0.0372 0.9628 0.6247  6 La 3.29-3.62
Dy 0.0372 0.9628 0.8753  6 La 3.29-3.62
Dy 0.3467 0.6533 0.5453  8 La 3.54-3.82, 2 Dy 3.69-3.85
Dy 0.3467 0.6533 0.9547  8 La 3.54-3.82, 2 Dy 3.69-3.85
Dy 0.6533 0.3467 0.0453  8 La 3.54-3.82, 2 Dy 3.69-3.85
Dy 0.6533 0.3467 0.4547  8 La 3.54-3.82, 2 Dy 3.69-3.85
Dy 0.9628 0.0372 0.1247  6 La 3.29-3.62
Dy 0.9628 0.0372 0.3753  6 La 3.29-3.62



Entry 2:
Compound: KTlH2
Source: Alexandria via LeMat-Bulk
Functional: PBE
Structure: optimized geometry

Values from the calculation:
Energy above the lowest structure with this stoichiometry (eV per atom): 0.0439
N(E_F) (states/eV/atom): 0.030
Space-group type: No. 123

a = 4.7708 Å, b = 4.7708 Å, c = 3.3139 Å
α = 90.00°, β = 90.00°, γ = 90.00°
Last column: nearest neighbours and their distance in Å.
Fractional coordinates of all 4 atoms:
K 0.0000 0.0000 0.0000  8 H 2.90
Tl 0.5000 0.5000 0.0000  8 H 2.90
H 0.0000 0.5000 0.5000  4 Tl 2.90, 4 K 2.90
H 0.5000 0.0000 0.5000  4 Tl 2.90, 4 K 2.90